# PBE+U V2IClF, optimized geometry
data_V2IClF
_chemical_formula_sum 'V2 I1 Cl1 F1'
_space_group_name_H-M_alt 'P 4/m m m'
_space_group_IT_number 123
_space_group_name_Hall '-P 4 2'
_cell_length_a 4.916
_cell_length_b 4.916
_cell_length_c 5.861
_cell_angle_alpha 90.00
_cell_angle_beta 90.00
_cell_angle_gamma 90.00
loop_
_atom_site_label
_atom_site_fract_x
_atom_site_fract_y
_atom_site_fract_z
V1 0.000 0.500 0.000
I1 0.000 0.000 0.500
Cl1 0.000 0.000 0.000
F1 0.500 0.500 0.500
# **E**: -3.5716 eV/atom
# **Magnetic moment**: 7.48 μB/cell